# 1
## Sn3P4O14 (PBE-GGA)

Data for crystalline Sn3P4O14 at its relaxed geometry.

- Polymorph energy (0 for the lowest one): 23 meV/atom
- E_form (uncorrected): -40.562 eV per formula unit
- Magnetic moment: 0.000 μB per formula unit

Cell: 5.5863 7.1157 9.1722 Å, 89.59 83.80 68.05°
Last column: nearest neighbours and their distance in Å.
Space group P-1 (No. 2)
Asymmetric unit:
1 Sn 0.0000 0.0000 0.0000 [1 per cell]  6 O 2.03-2.09
2 Sn 0.1626 0.5930 0.3218 [2 per cell]  3 O 2.19-2.32
3 P 0.2291 0.6506 0.7174 [2 per cell]  4 O 1.52-1.61
4 P 0.3506 0.3025 0.9542 [2 per cell]  4 O 1.50-1.62
5 O 0.0582 0.6006 0.6153 [2 per cell]  1 P 1.54
6 O 0.0737 0.8508 0.8029 [2 per cell]  1 P 1.53
7 O 0.1919 0.1806 0.9048 [2 per cell]  1 P 1.55
8 O 0.2523 0.4071 0.1024 [2 per cell]  1 P 1.50
9 O 0.3184 0.4684 0.8288 [2 per cell]  2 P 1.61-1.62
10 O 0.3544 0.8202 0.0715 [2 per cell]  1 P 1.54
11 O 0.4787 0.6513 0.6324 [2 per cell]  1 P 1.52


# 2
## SnP2O6 (PBE-GGA)

Data for crystalline SnP2O6 at its relaxed geometry.

- Polymorph energy (0 for the lowest one): 3 meV/atom
- E_form (uncorrected): -17.797 eV per formula unit
- Magnetic moment: 0.000 μB per formula unit

Cell: 8.6354 7.3469 18.0432 Å, 90.00 91.12 90.00°
Last column: nearest neighbours and their distance in Å.
Space group P2_1/c (No. 14)
Asymmetric unit:
1 Sn 0.1210 0.0864 0.3654 [4 per cell]  4 O 2.23-2.40
2 Sn 0.3648 0.6546 0.1393 [4 per cell]  4 O 2.26-2.49
3 P 0.0519 0.0108 0.1616 [4 per cell]  4 O 1.49-1.62
4 P 0.2001 0.2247 0.5567 [4 per cell]  4 O 1.49-1.61
5 P 0.2895 0.5100 0.3383 [4 per cell]  4 O 1.49-1.62
6 P 0.4539 0.7122 0.9357 [4 per cell]  4 O 1.49-1.62
7 O 0.0557 0.6951 0.6542 [4 per cell]  1 P 1.52
8 O 0.1063 0.2044 0.4869 [4 per cell]  1 P 1.49
9 O 0.1068 0.0946 0.2325 [4 per cell]  1 P 1.49
10 O 0.1199 0.5838 0.3611 [4 per cell]  2 P 1.62
11 O 0.1517 0.0844 0.0940 [4 per cell]  2 P 1.60-1.61
12 O 0.1963 0.0737 0.6143 [4 per cell]  1 P 1.52
13 O 0.2964 0.1943 0.8492 [4 per cell]  1 P 1.52
14 O 0.3348 0.5852 0.2650 [4 per cell]  1 P 1.49
15 O 0.3602 0.6601 0.0010 [4 per cell]  1 P 1.49
16 O 0.3757 0.2282 0.0354 [4 per cell]  2 P 1.61
17 O 0.3947 0.5936 0.4041 [4 per cell]  2 P 1.60-1.62
18 O 0.4653 0.5775 0.8722 [4 per cell]  1 P 1.52


# 3
## Sn4P2O9 (PBE-GGA)

Data for crystalline Sn4P2O9 at its relaxed geometry.

- Polymorph energy (0 for the lowest one): 71 meV/atom
- E_form (uncorrected): -25.620 eV per formula unit
- Magnetic moment: 0.000 μB per formula unit

Cell: 9.8633 7.1550 13.9201 Å, 90.00 90.00 90.00°
Last column: nearest neighbours and their distance in Å.
Space group Pnma (No. 62)
Asymmetric unit:
1 Sn 0.0439 0.2500 0.1009 [4 per cell]  3 O 2.23-2.45
2 Sn 0.1311 0.5141 0.6600 [8 per cell]  5 O 2.32-2.55
3 Sn 0.2012 0.7500 0.4070 [4 per cell]  1 O 2.10
4 P 0.0482 0.7500 0.1439 [4 per cell]  4 O 1.55-1.59
5 P 0.1495 0.2500 0.4519 [4 per cell]  4 O 1.52-1.62
6 O 0.0337 0.2500 0.7615 [4 per cell]  1 P 1.55
7 O 0.0600 0.2500 0.9411 [4 per cell]  1 P 1.59
8 O 0.0832 0.0693 0.4101 [8 per cell]  1 P 1.56
9 O 0.1091 0.2500 0.5648 [4 per cell]  1 P 1.62
10 O 0.1354 0.5704 0.1353 [8 per cell]  1 P 1.55
11 O 0.1983 0.7500 0.9372 [4 per cell]  1 P 1.52
12 O 0.2154 0.7500 0.5576 [4 per cell]  1 Sn 2.10


# 4
## Sn2PO (PBE-GGA)

Data for crystalline Sn2PO at its relaxed geometry.

- Polymorph energy (0 for the lowest one): 0 meV/atom
- E_form (uncorrected): -1.181 eV per formula unit
- Magnetic moment: 0.000 μB per formula unit

Cell: 5.2980 5.2980 13.1890 Å, 90.00 90.00 90.00°
Last column: nearest neighbours and their distance in Å.
Space group I-42d (No. 122)
Asymmetric unit:
1 Sn 0.1813 0.2500 0.1250 [8 per cell]  2 O 2.32
2 P 0.0000 0.0000 0.5000 [4 per cell]  4 Sn 2.71
3 O 0.0000 0.0000 0.0000 [4 per cell]  4 Sn 2.32


- E_form (uncorrected) of number 2 (SnP2O6)?
  -17.797 eV per formula unit


- magnetic moment of number 1 (Sn3P4O14)?
  0.000 μB per formula unit


- Number 4 is which compound?
  Sn2PO


Repeat the first record exactly.
## Sn3P4O14 (PBE-GGA)

Data for crystalline Sn3P4O14 at its relaxed geometry.

- Polymorph energy (0 for the lowest one): 23 meV/atom
- E_form (uncorrected): -40.562 eV per formula unit
- Magnetic moment: 0.000 μB per formula unit

Cell: 5.5863 7.1157 9.1722 Å, 89.59 83.80 68.05°
Last column: nearest neighbours and their distance in Å.
Space group P-1 (No. 2)
Asymmetric unit:
1 Sn 0.0000 0.0000 0.0000 [1 per cell]  6 O 2.03-2.09
2 Sn 0.1626 0.5930 0.3218 [2 per cell]  3 O 2.19-2.32
3 P 0.2291 0.6506 0.7174 [2 per cell]  4 O 1.52-1.61
4 P 0.3506 0.3025 0.9542 [2 per cell]  4 O 1.50-1.62
5 O 0.0582 0.6006 0.6153 [2 per cell]  1 P 1.54
6 O 0.0737 0.8508 0.8029 [2 per cell]  1 P 1.53
7 O 0.1919 0.1806 0.9048 [2 per cell]  1 P 1.55
8 O 0.2523 0.4071 0.1024 [2 per cell]  1 P 1.50
9 O 0.3184 0.4684 0.8288 [2 per cell]  2 P 1.61-1.62
10 O 0.3544 0.8202 0.0715 [2 per cell]  1 P 1.54
11 O 0.4787 0.6513 0.6324 [2 per cell]  1 P 1.52